1.
# LiRuAu2

A relaxed structure of LiRuAu2 (GGA-PBE, Alexandria via LeMat-Bulk).

Structure (POSCAR):
```
LiRuAu2
1.0
6.730 -0.001 -0.004
-2.807 3.954 0.002
1.117 0.792 2.373
Au Ru Li
2 1 1
Cartesian
3.923 0.395 1.185
0.000 0.000 0.000
1.962 1.976 -0.001
-0.845 2.373 1.188
```

Values from the calculation:
**Excess energy over the best structure of this formula in the dataset**: 0.000 eV per atom
**Size of the total moment**: 0.00 Bohr magnetons per cell
**Density**: 13.20 g/cm³

2.
# Li2RuAu

A relaxed structure of Li2RuAu (GGA-PBE, Alexandria via LeMat-Bulk).

Structure (POSCAR):
```
Li2RuAu
1.0
6.872 0.000 0.000
0.000 6.872 0.000
3.436 3.436 2.643
Li Au Ru
4 2 2
Cartesian
1.687 5.154 0.661
8.590 8.621 1.982
5.185 1.718 0.661
5.154 5.123 1.982
0.000 0.000 0.000
6.872 3.436 1.322
3.436 3.436 0.000
3.436 6.872 1.322
```

Values from the calculation:
**Excess energy over the best structure of this formula in the dataset**: 0.406 eV per atom
**Size of the total moment**: 3.07 Bohr magnetons per cell
**Density**: 8.30 g/cm³

3.
# Li2RuAu

A relaxed structure of Li2RuAu (GGA-PBE, Alexandria via LeMat-Bulk).

Structure (POSCAR):
```
Li2RuAu
1.0
2.687 -0.003 0.000
-0.845 2.550 0.000
0.000 0.000 8.579
Li Ru Au
2 1 1
Cartesian
0.000 0.000 0.043
0.000 0.000 4.247
0.921 1.274 2.145
0.921 1.274 6.434
```

Values from the calculation:
**Excess energy over the best structure of this formula in the dataset**: 0.025 eV per atom
**Size of the total moment**: 0.00 Bohr magnetons per cell
**Density**: 8.81 g/cm³

4.
# LiRuAu4

A relaxed structure of LiRuAu4 (GGA-PBE, Alexandria via LeMat-Bulk).

Structure (POSCAR):
```
LiRuAu4
1.0
0.000 3.852 3.852
3.852 0.000 3.852
3.852 3.852 0.000
Ru Au Li
1 4 1
Cartesian
0.000 0.000 0.000
4.815 2.889 4.815
2.889 4.815 4.815
2.889 2.889 2.889
4.815 4.815 2.889
5.778 5.778 5.778
```

Values from the calculation:
**Size of the total moment**: 2.44 Bohr magnetons per cell
**Total DFT energy (no corrections)**: -3.73 eV/atom
**Density**: 13.01 g/cm³

5.
# LiRuAu2

A relaxed structure of LiRuAu2 (GGA-PBE, Alexandria via LeMat-Bulk).

Structure (POSCAR):
```
LiRuAu2
1.0
-4.801 -0.900 -2.730
-4.706 -1.171 2.790
4.225 3.424 -1.317
Li Au Ru
1 2 1
Cartesian
-4.774 -1.040 0.031
-2.576 0.763 -2.009
-0.049 -0.011 0.000
-2.637 0.605 0.752
```

Values from the calculation:
**Excess energy over the best structure of this formula in the dataset**: 0.175 eV per atom
**Size of the total moment**: 0.00 Bohr magnetons per cell
**Density**: 13.04 g/cm³

6.
# Li2RuAu

A relaxed structure of Li2RuAu (GGA-PBE, Alexandria via LeMat-Bulk).

Structure (POSCAR):
```
Li2RuAu
1.0
3.805 0.000 0.000
0.000 3.889 0.000
0.000 0.000 3.889
Ru Au Li
1 1 2
Cartesian
1.902 1.944 0.000
1.902 0.000 1.944
0.000 1.944 1.944
0.000 0.000 0.000
```

Values from the calculation:
**Excess energy over the best structure of this formula in the dataset**: 0.138 eV per atom
**Size of the total moment**: 0.63 Bohr magnetons per cell
**Density**: 9.00 g/cm³

7.
# LiRu2Au

A relaxed structure of LiRu2Au (GGA-PBE, Alexandria via LeMat-Bulk).

Structure (POSCAR):
```
LiRu2Au
1.0
5.479 0.006 0.007
-2.991 4.591 0.007
0.603 1.114 2.363
Au Li Ru
1 1 2
Cartesian
3.041 0.560 1.185
-1.194 2.852 1.185
0.000 0.000 0.000
1.244 2.298 0.007
```

Values from the calculation:
**Excess energy over the best structure of this formula in the dataset**: 0.189 eV per atom
**Size of the total moment**: 0.00 Bohr magnetons per cell
**Density**: 11.35 g/cm³

8.
# LiRuAu2

A relaxed structure of LiRuAu2 (GGA-PBE, Alexandria via LeMat-Bulk).

Structure (POSCAR):
```
LiRuAu2
1.0
-2.067 0.131 4.475
-4.656 -1.615 -0.178
4.250 -1.870 -1.662
Au Ru Li
2 1 1
Cartesian
0.000 0.000 0.000
-1.884 -2.114 0.154
-0.590 -1.241 2.481
-3.362 -0.742 2.149
```

Values from the calculation:
**Excess energy over the best structure of this formula in the dataset**: 0.220 eV per atom
**Size of the total moment**: 1.68 Bohr magnetons per cell
**Density**: 13.08 g/cm³

9.
# LiRu2Au

A relaxed structure of LiRu2Au (GGA-PBE, Alexandria via LeMat-Bulk).

Structure (POSCAR):
```
LiRu2Au
1.0
2.719 -0.011 0.000
-1.261 2.409 0.000
0.000 0.000 9.302
Au Li Ru
1 1 2
Cartesian
0.000 0.000 4.757
0.729 1.199 7.033
0.729 1.199 2.154
0.000 0.000 0.010
```

Values from the calculation:
**Excess energy over the best structure of this formula in the dataset**: 0.180 eV per atom
**Size of the total moment**: 0.73 Bohr magnetons per cell
**Density**: 11.09 g/cm³

10.
# Li2RuAu

A relaxed structure of Li2RuAu (GGA-PBE, Alexandria via LeMat-Bulk).

Structure (POSCAR):
```
Li2RuAu
1.0
2.666 0.000 0.000
0.000 2.666 0.000
0.000 0.000 8.222
Li Au Ru
2 1 1
Cartesian
0.000 0.000 4.092
0.000 0.000 0.020
1.333 1.333 6.167
1.333 1.333 2.056
```

Values from the calculation:
**Excess energy over the best structure of this formula in the dataset**: 0.022 eV per atom
**Size of the total moment**: 0.48 Bohr magnetons per cell
**Density**: 8.87 g/cm³

11.
# LiRuAu2

A relaxed structure of LiRuAu2 (GGA-PBE, Alexandria via LeMat-Bulk).

Structure (POSCAR):
```
LiRuAu2
1.0
-1.567 -0.690 4.157
2.505 -2.210 3.009
1.804 2.206 3.478
Au Ru Li
2 1 1
Cartesian
0.000 0.000 0.000
0.685 -0.174 2.661
2.056 -0.521 7.983
1.371 -0.347 5.322
```

Values from the calculation:
**Excess energy over the best structure of this formula in the dataset**: 0.299 eV per atom
**Size of the total moment**: 1.78 Bohr magnetons per cell
**Density**: 12.97 g/cm³

12.
# LiRuAu

A relaxed structure of LiRuAu (GGA-PBE, Alexandria via LeMat-Bulk).

Structure (POSCAR):
```
LiRuAu
1.0
4.295 0.000 0.000
2.148 3.720 0.000
2.148 1.240 3.507
Au Ru Li
1 1 1
Cartesian
6.443 3.720 2.630
4.295 2.480 1.753
0.000 0.000 0.000
```

Values from the calculation:
**Excess energy over the best structure of this formula in the dataset**: 0.405 eV per atom
**Size of the total moment**: 2.29 Bohr magnetons per cell
**Density**: 9.04 g/cm³